Entry from Alexandria: crystalline Os2WSe at its relaxed geometry (PBE-GGA).

Calculated values
**Magnetization**: 0.000 μB/cell
**Uncorrected formation energy**: 1.9 eV/f.u.
**Mass density**: 16.77 g/cm3
**Calculated total energy**: -37.0 eV/f.u.

```
data_Os2WSe
_chemical_formula_sum 'Os4 W2 Se2'
_cell_length_a 9.7766
_cell_length_b 2.9364
_cell_length_c 4.4431
_cell_angle_alpha 90.00
_cell_angle_beta 93.15
_cell_angle_gamma 90.00
_symmetry_space_group_name_H-M 'C 1 m 1'
_symmetry_Int_Tables_number 8
loop_
_symmetry_equiv_pos_as_xyz
'x,y,z'
'x,-y,z'
'x+1/2,y+1/2,z'
'x+1/2,-y+1/2,z'
loop_
_atom_site_label
_atom_site_fract_x
_atom_site_fract_y
_atom_site_fract_z
_atom_site_occupancy
Os1 0.0000 0.0000 0.0000 1
Os2 0.2270 0.5000 0.1810 1
W1 0.2943 0.0000 0.7294 1
Se1 0.0164 0.5000 0.4623 1
```